No. 1
CaSm2Sb2, relaxed, DFT GGA-PBE; N(E_F) = 0.3208 states/eV/atom; total moment = 0.00 μB per cell; formation energy without anion corrections = -4.94 eV per formula unit
1.0
8.404 0.000 0.000
0.000 8.404 0.000
0.000 0.000 4.269
Ca Sm Sb
2 4 4
direct
0.000 0.000 0.000
0.500 0.500 0.000
0.155 0.345 0.500
0.345 0.845 0.500
0.655 0.155 0.500
0.845 0.655 0.500
0.148 0.648 0.000
0.352 0.148 0.000
0.648 0.852 0.000
0.852 0.352 0.000

***

No. 2
CaSmSb2, relaxed, DFT GGA-PBE; N(E_F) = 0.6010 states/eV/atom; relative energy among the computed polymorphs = 0 meV/atom; total moment = 0.00 μB per cell; formation energy without anion corrections = -3.76 eV per formula unit
1.0
2.198 1.269 7.705
-2.198 1.269 7.705
0.000 -2.538 7.705
Ca Sm Sb
1 1 2
direct
0.000 0.000 0.000
0.500 0.500 0.500
0.248 0.248 0.248
0.752 0.752 0.752

***

Across the entries above, DFT total energy takes the values -4.9250 -4.6801 eV/atom, respectively.